No. 1
The following is a DFT calculation (PBE) of crystalline CuTcRh3 at its relaxed geometry.

Cell and atoms, written as CIF:
```
data_CuTcRh3
_symmetry_space_group_name_H-M 'P 1'
_symmetry_Int_Tables_number 1
_symmetry_space_group_name_Hall 'P 1'
_cell_length_a 4.644
_cell_length_b 4.644
_cell_length_c 4.644
_cell_angle_alpha 90.00
_cell_angle_beta 90.00
_cell_angle_gamma 90.00
loop_
_atom_site_label
_atom_site_type_symbol
_atom_site_fract_x
_atom_site_fract_y
_atom_site_fract_z
Cu1 Cu 0.000 0.000 0.000
Tc1 Tc 0.500 0.500 0.500
Rh1 Rh 0.000 0.500 0.500
Rh2 Rh 0.500 0.000 0.500
Rh3 Rh 0.500 0.500 0.000
```

Summary:
ρ	7.80	g/cm³
uncorrected energy	-29.9	eV/cell
energy of formation	1320	meV per atom

No. 2
The following is a DFT calculation (PBE) of crystalline Cu2TcRh at its relaxed geometry.

Cell and atoms, written as CIF:
```
data_Cu2TcRh
_symmetry_space_group_name_H-M 'P 1'
_symmetry_Int_Tables_number 1
_symmetry_space_group_name_Hall 'P 1'
_cell_length_a 4.676
_cell_length_b 4.676
_cell_length_c 4.676
_cell_angle_alpha 132.89
_cell_angle_beta 132.89
_cell_angle_gamma 68.83
loop_
_atom_site_label
_atom_site_type_symbol
_atom_site_fract_x
_atom_site_fract_y
_atom_site_fract_z
Cu1 Cu 0.250 0.750 0.500
Cu2 Cu 0.750 0.250 0.500
Tc1 Tc 0.000 0.000 0.000
Rh1 Rh 0.500 0.500 0.000
```

Summary:
ρ	10.11	g/cm³
uncorrected energy	-24.8	eV/cell
energy of formation	274	meV per atom

No. 3
The following is a DFT calculation (PBE) of crystalline Cu2TcRh at its relaxed geometry.

Cell and atoms, written as CIF:
```
data_Cu2TcRh
_symmetry_space_group_name_H-M 'P 1'
_symmetry_Int_Tables_number 1
_symmetry_space_group_name_Hall 'P 1'
_cell_length_a 2.627
_cell_length_b 3.924
_cell_length_c 5.170
_cell_angle_alpha 90.00
_cell_angle_beta 90.00
_cell_angle_gamma 90.00
loop_
_atom_site_label
_atom_site_type_symbol
_atom_site_fract_x
_atom_site_fract_y
_atom_site_fract_z
Cu1 Cu 0.000 0.000 0.249
Cu2 Cu 0.000 0.000 0.751
Tc1 Tc 0.500 0.500 0.000
Rh1 Rh 0.500 0.500 0.500
```

Summary:
ρ	10.22	g/cm³
uncorrected energy	-25.0	eV/cell
energy of formation	220	meV per atom

No. 4
The following is a DFT calculation (PBE) of crystalline Cu2TcRh at its relaxed geometry.

Cell and atoms, written as CIF:
```
data_Cu2TcRh
_symmetry_space_group_name_H-M 'P 1'
_symmetry_Int_Tables_number 1
_symmetry_space_group_name_Hall 'P 1'
_cell_length_a 4.321
_cell_length_b 4.321
_cell_length_c 2.832
_cell_angle_alpha 90.00
_cell_angle_beta 90.00
_cell_angle_gamma 90.00
loop_
_atom_site_label
_atom_site_type_symbol
_atom_site_fract_x
_atom_site_fract_y
_atom_site_fract_z
Cu1 Cu 0.000 0.500 0.000
Cu2 Cu 0.500 0.000 0.000
Tc1 Tc 0.000 0.000 0.500
Rh1 Rh 0.500 0.500 0.500
```

Summary:
ρ	10.30	g/cm³
uncorrected energy	-24.7	eV/cell
energy of formation	312	meV per atom

No. 5
The following is a DFT calculation (PBE) of crystalline CuTc2Rh at its relaxed geometry.

Cell and atoms, written as CIF:
```
data_CuTc2Rh
_symmetry_space_group_name_H-M 'P 1'
_symmetry_Int_Tables_number 1
_symmetry_space_group_name_Hall 'P 1'
_cell_length_a 6.623
_cell_length_b 6.623
_cell_length_c 6.623
_cell_angle_alpha 131.02
_cell_angle_beta 131.02
_cell_angle_gamma 71.78
loop_
_atom_site_label
_atom_site_type_symbol
_atom_site_fract_x
_atom_site_fract_y
_atom_site_fract_z
Cu1 Cu 0.000 0.000 0.000
Cu2 Cu 0.750 0.250 0.500
Tc1 Tc 0.121 0.625 0.996
Tc2 Tc 0.375 0.371 0.496
Tc3 Tc 0.629 0.125 0.004
Tc4 Tc 0.875 0.879 0.504
Rh1 Rh 0.250 0.750 0.500
Rh2 Rh 0.500 0.500 0.000
```

Summary:
ρ	7.44	g/cm³
uncorrected energy	-52.2	eV/cell
energy of formation	1523	meV per atom

No. 6
The following is a DFT calculation (PBE) of crystalline CuTc2Rh at its relaxed geometry.

Cell and atoms, written as CIF:
```
data_CuTc2Rh
_symmetry_space_group_name_H-M 'P 1'
_symmetry_Int_Tables_number 1
_symmetry_space_group_name_Hall 'P 1'
_cell_length_a 3.716
_cell_length_b 3.716
_cell_length_c 4.022
_cell_angle_alpha 90.00
_cell_angle_beta 90.00
_cell_angle_gamma 90.00
loop_
_atom_site_label
_atom_site_type_symbol
_atom_site_fract_x
_atom_site_fract_y
_atom_site_fract_z
Cu1 Cu 0.000 0.000 0.000
Tc1 Tc 0.000 0.500 0.500
Tc2 Tc 0.500 0.000 0.500
Rh1 Rh 0.500 0.500 0.000
```

Summary:
ρ	10.84	g/cm³
uncorrected energy	-31.6	eV/cell
energy of formation	157	meV per atom

No. 7
The following is a DFT calculation (PBE) of crystalline CuTcRh4 at its relaxed geometry.

Cell and atoms, written as CIF:
```
data_CuTcRh4
_symmetry_space_group_name_H-M 'P 1'
_symmetry_Int_Tables_number 1
_symmetry_space_group_name_Hall 'P 1'
_cell_length_a 2.707
_cell_length_b 3.852
_cell_length_c 8.061
_cell_angle_alpha 90.00
_cell_angle_beta 90.00
_cell_angle_gamma 90.00
loop_
_atom_site_label
_atom_site_type_symbol
_atom_site_fract_x
_atom_site_fract_y
_atom_site_fract_z
Cu1 Cu 0.000 0.000 0.000
Tc1 Tc 0.500 0.500 0.500
Rh1 Rh 0.000 0.000 0.334
Rh2 Rh 0.000 0.000 0.666
Rh3 Rh 0.500 0.500 0.164
Rh4 Rh 0.500 0.500 0.836
```

Summary:
ρ	11.32	g/cm³
uncorrected energy	-43.7	eV/cell
energy of formation	23	meV per atom

No. 8
The following is a DFT calculation (PBE) of crystalline Cu2TcRh2 at its relaxed geometry.

Cell and atoms, written as CIF:
```
data_Cu2TcRh2
_symmetry_space_group_name_H-M 'P 1'
_symmetry_Int_Tables_number 1
_symmetry_space_group_name_Hall 'P 1'
_cell_length_a 6.919
_cell_length_b 6.919
_cell_length_c 2.846
_cell_angle_alpha 90.00
_cell_angle_beta 90.00
_cell_angle_gamma 90.00
loop_
_atom_site_label
_atom_site_type_symbol
_atom_site_fract_x
_atom_site_fract_y
_atom_site_fract_z
Cu1 Cu 0.125 0.375 0.000
Cu2 Cu 0.375 0.875 0.000
Cu3 Cu 0.625 0.125 0.000
Cu4 Cu 0.875 0.625 0.000
Tc1 Tc 0.000 0.000 0.000
Tc2 Tc 0.500 0.500 0.000
Rh1 Rh 0.174 0.674 0.500
Rh2 Rh 0.326 0.174 0.500
Rh3 Rh 0.674 0.826 0.500
Rh4 Rh 0.826 0.326 0.500
```

Summary:
ρ	10.50	g/cm³
uncorrected energy	-63.4	eV/cell
energy of formation	310	meV per atom

Computed values of volume (unit: Å³/atom) for the preceding records, in sequence: 20.026 13.469 13.324 13.218 20.223 13.883 14.009 13.627.